AsIr | PBE-GGA | optimized geometry

```
data_AsIr
_space_group_name_H-M_alt 'I m m a'
_space_group_IT_number 74
_space_group_name_Hall '-I 2b 2'
_cell_length_a 2.863
_cell_length_b 4.606
_cell_length_c 9.828
_cell_angle_alpha 90.00
_cell_angle_beta 90.00
_cell_angle_gamma 90.00
loop_
_atom_site_label
_atom_site_fract_x
_atom_site_fract_y
_atom_site_fract_z
As1 0.000 0.250 0.100
Ir1 0.000 0.250 0.625
```

Results
crystal system	orthorhombic
uncorrected energy	-6.542	eV/atom
ΔH_f (0 K)	0.21	eV per atom